VASP calculation (PBE) on a geometry-optimized La2Zn4Pt3Au structure.

Values from the calculation:
formation energy: -70.74 kJ/mol of atoms
space-group type: P-4m2

abc: 4.348 4.348 10.637
angles: 90.00 90.00 90.00
Sites, in units of the cell vectors:
La 0.000 0.500 0.249
La 0.500 0.000 0.751
Zn 0.000 0.000 0.500
Zn 0.000 0.500 0.869
Zn 0.500 0.000 0.131
Zn 0.500 0.500 0.500
Pt 0.000 0.000 0.000
Pt 0.000 0.500 0.633
Pt 0.500 0.000 0.367
Au 0.500 0.500 0.000

=====

VASP calculation (PBE) on a geometry-optimized LaZrPtAu2 structure.

Values from the calculation:
formation energy: 130.02 kJ/mol of atoms
space-group type: P4/mmm

abc: 5.292 5.292 5.430
angles: 90.00 90.00 90.00
Sites, in units of the cell vectors:
La 0.000 0.000 0.000
Zr 0.000 0.000 0.500
Pt 0.500 0.500 0.500
Au 0.000 0.500 0.000
Au 0.500 0.000 0.000

=====

VASP calculation (PBE) on a geometry-optimized LaPuAu structure.

Values from the calculation:
formation energy: -28.80 kJ/mol of atoms
space-group type: I4mm

abc: 3.752 3.752 11.918
angles: 90.00 90.00 90.00
Sites, in units of the cell vectors:
La 0.000 0.000 0.000
La 0.500 0.500 0.500
Pu 0.000 0.000 0.294
Pu 0.500 0.500 0.794
Au 0.000 0.000 0.655
Au 0.500 0.500 0.155

=====

VASP calculation (PBE) on a geometry-optimized LaPuAu2 structure.

Values from the calculation:
formation energy: -57.07 kJ/mol of atoms
space-group type: P4/mmm

abc: 3.710 3.710 7.409
angles: 90.00 90.00 90.00
Sites, in units of the cell vectors:
La 0.000 0.000 0.000
Pu 0.000 0.000 0.500
Au 0.500 0.500 0.257
Au 0.500 0.500 0.743